<P>
The following is a DFT calculation (GGA-PBE) of an optimized crystal structure of Li2ZnAu4.

Calculated volume: 269 Å³/cell

a = 4.9917 Å, b = 4.9917 Å, c = 10.8074 Å
α = 90.00°, β = 90.00°, γ = 90.00°
Space group I4/mmm (No. 139)
Inequivalent atoms, fractional coordinates:
Li  0.0000  0.0000  0.1475
Zn  0.0000  0.0000  0.5000
Au  0.0000  0.5000  0.0000
Au  0.0000  0.5000  0.2500

<Q>
The following is a DFT calculation (GGA-PBE) of an optimized crystal structure of Li2ZnAu4.

Calculated volume: 238 Å³/cell

a = 5.7907 Å, b = 5.7907 Å, c = 7.1061 Å
α = 90.00°, β = 90.00°, γ = 90.00°
Space group I4/mmm (No. 139)
Inequivalent atoms, fractional coordinates:
Li  0.0000  0.5000  0.0000
Zn  0.0000  0.0000  0.0000
Au  0.2500  0.2500  0.2500

Stability summary - winner: <Q>; margin: 0.127 eV/atom.

<P>
The following is a DFT calculation (GGA-PBE) of an optimized crystal structure of LiZnAu3.

Calculated volume: 117 Å³/cell

a = 4.8946 Å, b = 4.8946 Å, c = 4.8946 Å
α = 90.00°, β = 90.00°, γ = 90.00°
Space group Pm-3m (No. 221)
Inequivalent atoms, fractional coordinates:
Li  0.0000  0.0000  0.0000
Zn  0.5000  0.5000  0.5000
Au  0.0000  0.5000  0.5000

<Q>
The following is a DFT calculation (GGA-PBE) of an optimized crystal structure of LiZnAu3.

Calculated volume: 162 Å³/cell

a = 4.6556 Å, b = 4.6615 Å, c = 7.9158 Å
α = 73.25°, β = 87.25°, γ = 80.93°
Space group P-1 (No. 2)
Inequivalent atoms, fractional coordinates:
Li  0.2503  0.1506  0.1997
Zn  0.2498  0.3494  0.8020
Au  0.2491  0.9397  0.6187
Au  0.2504  0.5606  0.3831
Au  0.2499  0.7501  0.0014

Stability summary - winner: <Q>; margin: 0.453 eV/atom.

<P>
The following is a DFT calculation (GGA-PBE) of an optimized crystal structure of LiZn5Au2.

Calculated volume: 258 Å³/cell

a = 2.8875 Å, b = 8.7380 Å, c = 10.2103 Å
α = 90.00°, β = 90.00°, γ = 90.00°
Space group Immm (No. 71)
Inequivalent atoms, fractional coordinates:
Li  0.0000  0.0000  0.0000
Zn  0.0000  0.2249  0.3703
Zn  0.0000  0.5000  0.0000
Au  0.0000  0.5000  0.2684

<Q>
The following is a DFT calculation (GGA-PBE) of an optimized crystal structure of LiZn5Au2.

Calculated volume: 247 Å³/cell

a = 5.7324 Å, b = 10.8364 Å, c = 3.9707 Å
α = 90.00°, β = 90.00°, γ = 90.00°
Space group Pbam (No. 55)
Inequivalent atoms, fractional coordinates:
Li  0.0000  0.0000  0.0000
Zn  0.0000  0.5000  0.0000
Zn  0.0050  0.2534  0.0000
Zn  0.2467  0.8755  0.5000
Au  0.2381  0.1241  0.5000

Stability summary - winner: <Q>; margin: 0.024 eV/atom.